A relaxed structure of AlPtCl3. Source: Alexandria, functional PBE.

The structure in CIF format:
```
data_AlPtCl3
_space_group_name_H-M_alt 'P m -3 m'
_space_group_IT_number 221
_space_group_name_Hall '-P 4 2 3'
_cell_length_a 4.935
_cell_length_b 4.935
_cell_length_c 4.935
_cell_angle_alpha 90.00
_cell_angle_beta 90.00
_cell_angle_gamma 90.00
loop_
_atom_site_label
_atom_site_type_symbol
_atom_site_fract_x
_atom_site_fract_y
_atom_site_fract_z
_atom_site_occupancy
Al1 Al 0.000 0.000 0.000 1
Pt1 Pt 0.500 0.500 0.500 1
Cl1 Cl 0.000 0.500 0.500 1
```

Output
- Formation energy (no corrections): -0.185 eV/atom
- Theoretical density: 4.5 g/cm³